[1]
# NiAg4Br6, relaxed, DFT PBE
data_NiAg4Br6
_chemical_formula_sum 'Ni2 Ag8 Br12'
_cell_length_a 8.0738
_cell_length_b 7.7179
_cell_length_c 13.4128
_cell_angle_alpha 71.34
_cell_angle_beta 72.48
_cell_angle_gamma 58.46
_space_group_name_H-M_alt 'P 1'
_space_group_IT_number 1
_space_group_name_Hall 'P 1'
loop_
_atom_site_label
_atom_site_fract_x
_atom_site_fract_y
_atom_site_fract_z
_atom_site_occupancy
Ni1 0.6903 0.7418 0.4092 1
Ni2 0.1587 0.2418 0.9092 1
Ag1 0.2725 0.0029 0.6447 1
Ag2 0.0799 0.5029 0.1447 1
Ag3 0.7574 0.2123 0.4551 1
Ag4 0.5752 0.7123 0.9551 1
Ag5 0.9064 0.6739 0.6559 1
Ag6 0.7638 0.1739 0.1559 1
Ag7 0.6953 0.2473 0.7986 1
Ag8 0.2588 0.7473 0.2986 1
Br1 0.4049 0.5332 0.1394 1
Br2 0.9225 0.0332 0.6394 1
Br3 0.4622 0.6102 0.4633 1
Br4 0.4642 0.1102 0.9633 1
Br5 0.4997 0.0772 0.4544 1
Br6 0.9688 0.5772 0.9544 1
Br7 0.9410 0.1025 0.9513 1
Br8 0.0052 0.6025 0.4513 1
Br9 0.0080 0.1657 0.2633 1
Br10 0.5629 0.6657 0.7633 1
Br11 0.2354 0.3191 0.7188 1
Br12 0.7266 0.8191 0.2188 1
# E, eV per atom: -2.7628
# Energy relative to the elements, uncorrected, eV/atom: -0.288

[2]
# Ni2AgBr, relaxed, DFT PBE
data_Ni2AgBr
_chemical_formula_sum 'Ni2 Ag1 Br1'
_cell_length_a 4.4398
_cell_length_b 4.4398
_cell_length_c 4.4398
_cell_angle_alpha 60.00
_cell_angle_beta 60.00
_cell_angle_gamma 60.00
_space_group_name_H-M_alt 'P 1'
_space_group_IT_number 1
_space_group_name_Hall 'P 1'
loop_
_atom_site_label
_atom_site_fract_x
_atom_site_fract_y
_atom_site_fract_z
_atom_site_occupancy
Ni1 0.2500 0.2500 0.2500 1
Ni2 0.7500 0.7500 0.7500 1
Br1 0.0000 0.0000 0.0000 1
Ag1 0.5000 0.5000 0.5000 1
# E, eV per atom: -3.3877
# Energy relative to the elements, uncorrected, eV/atom: 0.634
# E above lowest polymorph, meV per atom: 293

[3]
# NiAgBr, relaxed, DFT PBE
data_NiAgBr
_chemical_formula_sum 'Ni1 Ag1 Br1'
_cell_length_a 6.0989
_cell_length_b 6.0989
_cell_length_c 6.0989
_cell_angle_alpha 150.14
_cell_angle_beta 150.14
_cell_angle_gamma 42.73
_space_group_name_H-M_alt 'P 1'
_space_group_IT_number 1
_space_group_name_Hall 'P 1'
loop_
_atom_site_label
_atom_site_fract_x
_atom_site_fract_y
_atom_site_fract_z
_atom_site_occupancy
Ag1 0.0258 0.0258 0.0000 1
Br1 0.2998 0.2998 0.0000 1
Ni1 0.6744 0.6744 0.0000 1
# E, eV per atom: -3.0465
# Energy relative to the elements, uncorrected, eV/atom: 0.389
# E above lowest polymorph, meV per atom: 140

[4]
# NiAgBr3, relaxed, DFT PBE
data_NiAgBr3
_chemical_formula_sum 'Ni1 Ag1 Br3'
_cell_length_a 5.2981
_cell_length_b 5.2981
_cell_length_c 5.2981
_cell_angle_alpha 90.00
_cell_angle_beta 90.00
_cell_angle_gamma 90.00
_space_group_name_H-M_alt 'P 1'
_space_group_IT_number 1
_space_group_name_Hall 'P 1'
loop_
_atom_site_label
_atom_site_fract_x
_atom_site_fract_y
_atom_site_fract_z
_atom_site_occupancy
Ni1 0.5000 0.5000 0.5000 1
Br1 0.0000 0.5000 0.0000 1
Br2 0.0000 0.0000 0.5000 1
Br3 0.5000 0.0000 0.0000 1
Ag1 0.0000 0.0000 0.0000 1
# E, eV per atom: -2.2115
# Energy relative to the elements, uncorrected, eV/atom: 0.519
# E above lowest polymorph, meV per atom: 794

[5]
# NiAg3Br6, relaxed, DFT PBE
data_NiAg3Br6
_chemical_formula_sum 'Ni2 Ag6 Br12'
_cell_length_a 8.2409
_cell_length_b 8.2409
_cell_length_c 8.2409
_cell_angle_alpha 89.37
_cell_angle_beta 89.37
_cell_angle_gamma 89.37
_space_group_name_H-M_alt 'P 1'
_space_group_IT_number 1
_space_group_name_Hall 'P 1'
loop_
_atom_site_label
_atom_site_fract_x
_atom_site_fract_y
_atom_site_fract_z
_atom_site_occupancy
Ni1 0.0000 0.0000 0.0000 1
Ni2 0.5000 0.5000 0.5000 1
Ag1 0.4769 0.9151 0.7509 1
Ag2 0.9151 0.7509 0.4769 1
Ag3 0.2491 0.5231 0.0849 1
Ag4 0.7509 0.4769 0.9151 1
Ag5 0.0849 0.2491 0.5231 1
Ag6 0.5231 0.0849 0.2491 1
Br1 0.2964 0.9753 0.0229 1
Br2 0.0247 0.9771 0.7036 1
Br3 0.5593 0.7963 0.4531 1
Br4 0.9771 0.7036 0.0247 1
Br5 0.4531 0.5593 0.7963 1
Br6 0.2037 0.5469 0.4407 1
Br7 0.7963 0.4531 0.5593 1
Br8 0.5469 0.4407 0.2037 1
Br9 0.0229 0.2964 0.9753 1
Br10 0.4407 0.2037 0.5469 1
Br11 0.9753 0.0229 0.2964 1
Br12 0.7036 0.0247 0.9771 1
# E, eV per atom: -2.7080
# Energy relative to the elements, uncorrected, eV/atom: -0.271
# E above lowest polymorph, meV per atom: 0

[6]
# NiAg3Br6, relaxed, DFT PBE
data_NiAg3Br6
_chemical_formula_sum 'Ni2 Ag6 Br12'
_cell_length_a 7.1684
_cell_length_b 6.8747
_cell_length_c 10.3141
_cell_angle_alpha 90.00
_cell_angle_beta 90.11
_cell_angle_gamma 90.00
_space_group_name_H-M_alt 'P 1'
_space_group_IT_number 1
_space_group_name_Hall 'P 1'
loop_
_atom_site_label
_atom_site_fract_x
_atom_site_fract_y
_atom_site_fract_z
_atom_site_occupancy
Ni1 0.5000 0.5000 0.5000 1
Ni2 0.0000 0.0000 0.0000 1
Ag1 0.4783 0.9818 0.7670 1
Ag2 0.5000 0.5000 0.0000 1
Ag3 0.5217 0.0182 0.2330 1
Ag4 0.9783 0.5182 0.2670 1
Ag5 0.0000 0.0000 0.5000 1
Ag6 0.0217 0.4818 0.7330 1
Br1 0.6874 0.1765 0.9521 1
Br2 0.6480 0.2033 0.5768 1
Br3 0.6001 0.4111 0.2756 1
Br4 0.3999 0.5889 0.7244 1
Br5 0.3520 0.7967 0.4232 1
Br6 0.3126 0.8235 0.0479 1
Br7 0.1874 0.3235 0.4521 1
Br8 0.1480 0.2967 0.0768 1
Br9 0.1001 0.0889 0.7756 1
Br10 0.8999 0.9111 0.2244 1
Br11 0.8520 0.7033 0.9232 1
Br12 0.8126 0.6765 0.5479 1
# E, eV per atom: -2.6938
# Energy relative to the elements, uncorrected, eV/atom: -0.257
# E above lowest polymorph, meV per atom: 14

[7]
# Ni5AgBr12, relaxed, DFT PBE
data_Ni5AgBr12
_chemical_formula_sum 'Ni5 Ag1 Br12'
_cell_length_a 6.4499
_cell_length_b 6.4553
_cell_length_c 13.6974
_cell_angle_alpha 89.90
_cell_angle_beta 89.80
_cell_angle_gamma 60.03
_space_group_name_H-M_alt 'P 1'
_space_group_IT_number 1
_space_group_name_Hall 'P 1'
loop_
_atom_site_label
_atom_site_fract_x
_atom_site_fract_y
_atom_site_fract_z
_atom_site_occupancy
Ni1 0.5000 0.0000 0.5000 1
Ni2 0.1666 0.6667 0.5000 1
Ni3 0.8334 0.3333 0.5000 1
Ni4 0.6667 0.6667 0.0000 1
Ni5 0.3333 0.3333 0.0000 1
Ag1 0.0000 0.0000 0.0000 1
Br1 0.8340 0.0000 0.3988 1
Br2 0.1660 0.0000 0.6012 1
Br3 0.6315 0.0000 0.8930 1
Br4 0.3685 0.0000 0.1070 1
Br5 0.3711 0.6303 0.8930 1
Br6 0.9986 0.6303 0.1070 1
Br7 0.0015 0.3697 0.8930 1
Br8 0.6289 0.3697 0.1070 1
Br9 0.4995 0.3332 0.6010 1
Br10 0.8327 0.6668 0.6010 1
Br11 0.1673 0.3332 0.3990 1
Br12 0.5005 0.6668 0.3990 1
# E, eV per atom: -3.1880
# Energy relative to the elements, uncorrected, eV/atom: -0.308

[8]
# Ni2AgBr, relaxed, DFT PBE
data_Ni2AgBr
_chemical_formula_sum 'Ni2 Ag1 Br1'
_cell_length_a 3.1961
_cell_length_b 3.1961
_cell_length_c 6.5772
_cell_angle_alpha 90.00
_cell_angle_beta 90.00
_cell_angle_gamma 90.00
_space_group_name_H-M_alt 'P 1'
_space_group_IT_number 1
_space_group_name_Hall 'P 1'
loop_
_atom_site_label
_atom_site_fract_x
_atom_site_fract_y
_atom_site_fract_z
_atom_site_occupancy
Ag1 0.0000 0.0000 0.4392 1
Br1 0.5000 0.5000 0.8210 1
Ni1 0.0000 0.0000 0.0373 1
Ni2 0.5000 0.5000 0.2025 1
# E, eV per atom: -3.6804
# Energy relative to the elements, uncorrected, eV/atom: 0.341
# E above lowest polymorph, meV per atom: 0

[9]
# Ni2AgBr, relaxed, DFT PBE
data_Ni2AgBr
_chemical_formula_sum 'Ni2 Ag1 Br1'
_cell_length_a 3.1818
_cell_length_b 3.1818
_cell_length_c 6.1249
_cell_angle_alpha 90.00
_cell_angle_beta 90.00
_cell_angle_gamma 90.00
_space_group_name_H-M_alt 'P 1'
_space_group_IT_number 1
_space_group_name_Hall 'P 1'
loop_
_atom_site_label
_atom_site_fract_x
_atom_site_fract_y
_atom_site_fract_z
_atom_site_occupancy
Ag1 0.5000 0.5000 0.2500 1
Br1 0.5000 0.5000 0.7500 1
Ni1 0.0000 0.0000 0.0072 1
Ni2 0.0000 0.0000 0.4928 1
# E, eV per atom: -3.5344
# Energy relative to the elements, uncorrected, eV/atom: 0.487
# E above lowest polymorph, meV per atom: 146

[10]
# NiAgBr3, relaxed, DFT PBE
data_NiAgBr3
_chemical_formula_sum 'Ni1 Ag1 Br3'
_cell_length_a 4.9571
_cell_length_b 4.9571
_cell_length_c 4.9571
_cell_angle_alpha 90.00
_cell_angle_beta 90.00
_cell_angle_gamma 90.00
_space_group_name_H-M_alt 'P 1'
_space_group_IT_number 1
_space_group_name_Hall 'P 1'
loop_
_atom_site_label
_atom_site_fract_x
_atom_site_fract_y
_atom_site_fract_z
_atom_site_occupancy
Ni1 0.0000 0.0000 0.0000 1
Br1 0.0000 0.5000 0.0000 1
Br2 0.0000 0.0000 0.5000 1
Br3 0.5000 0.0000 0.0000 1
Ag1 0.5000 0.5000 0.5000 1
# E, eV per atom: -2.7669
# Energy relative to the elements, uncorrected, eV/atom: -0.037
# E above lowest polymorph, meV per atom: 239

[11]
# NiAgBr, relaxed, DFT PBE
data_NiAgBr
_chemical_formula_sum 'Ni1 Ag1 Br1'
_cell_length_a 4.3601
_cell_length_b 4.3601
_cell_length_c 4.3601
_cell_angle_alpha 60.00
_cell_angle_beta 60.00
_cell_angle_gamma 60.00
_space_group_name_H-M_alt 'P 1'
_space_group_IT_number 1
_space_group_name_Hall 'P 1'
loop_
_atom_site_label
_atom_site_fract_x
_atom_site_fract_y
_atom_site_fract_z
_atom_site_occupancy
Ag1 0.0000 0.0000 0.0000 1
Br1 0.5000 0.5000 0.5000 1
Ni1 0.7500 0.7500 0.7500 1
# E, eV per atom: -3.0177
# Energy relative to the elements, uncorrected, eV/atom: 0.417
# E above lowest polymorph, meV per atom: 169

[12]
# Ni2AgBr, relaxed, DFT PBE
data_Ni2AgBr
_chemical_formula_sum 'Ni2 Ag1 Br1'
_cell_length_a 3.0443
_cell_length_b 3.6789
_cell_length_c 6.3398
_cell_angle_alpha 89.79
_cell_angle_beta 90.00
_cell_angle_gamma 90.00
_space_group_name_H-M_alt 'P 1'
_space_group_IT_number 1
_space_group_name_Hall 'P 1'
loop_
_atom_site_label
_atom_site_fract_x
_atom_site_fract_y
_atom_site_fract_z
_atom_site_occupancy
Ag1 0.5000 0.2500 0.2500 1
Br1 0.5000 0.7500 0.7500 1
Ni1 0.0000 0.7515 0.0565 1
Ni2 0.0000 0.7485 0.4435 1
# E, eV per atom: -3.6653
# Energy relative to the elements, uncorrected, eV/atom: 0.356
# E above lowest polymorph, meV per atom: 15